No. 1
## Li3Cd12Cu (PBE)

Data for a relaxed Li3Cd12Cu crystal.

Results
formation enthalpy at 0 K: -92 meV/atom
VASP energy: -22.30 eV/cell
magnetization: 0.000 μB/cell

The structure in CIF format:
```
data_Li3Cd12Cu
_chemical_formula_sum 'Li3 Cd12 Cu1'
_cell_length_a 4.2878
_cell_length_b 4.2878
_cell_length_c 17.8385
_cell_angle_alpha 90.00
_cell_angle_beta 90.00
_cell_angle_gamma 90.00
_symmetry_space_group_name_H-M 'P 4/m m m'
_symmetry_Int_Tables_number 123
_symmetry_space_group_name_Hall '-P 4 2'
loop_
_atom_site_label
_atom_site_type_symbol
_atom_site_fract_x
_atom_site_fract_y
_atom_site_fract_z
Li1 Li 0.0000 0.0000 0.0000
Li2 Li 0.0000 0.0000 0.2542
Cd1 Cd 0.0000 0.5000 0.1269
Cd2 Cd 0.0000 0.5000 0.3805
Cd3 Cd 0.5000 0.5000 0.0000
Cd4 Cd 0.5000 0.5000 0.2544
Cd5 Cd 0.5000 0.5000 0.5000
Cu1 Cu 0.0000 0.0000 0.5000
```

No. 2
## Si2AgW (PBE)

Data for a relaxed Si2AgW crystal.

Results
VASP energy: -51.24 eV/cell
magnetization: 0.000 μB/cell
energy above the most stable polymorph in this dataset: 44 meV/atom

The structure in CIF format:
```
data_Si2AgW
_chemical_formula_sum 'Si4 Ag2 W2'
_cell_length_a 8.4331
_cell_length_b 3.0720
_cell_length_c 5.1415
_cell_angle_alpha 90.00
_cell_angle_beta 99.75
_cell_angle_gamma 90.00
_symmetry_space_group_name_H-M 'C 1 2/m 1'
_symmetry_Int_Tables_number 12
_symmetry_space_group_name_Hall '-C 2y'
loop_
_atom_site_label
_atom_site_type_symbol
_atom_site_fract_x
_atom_site_fract_y
_atom_site_fract_z
Si1 Si 0.2324 0.0000 0.1799
Ag1 Ag 0.0000 0.0000 0.5000
W1 W 0.0000 0.5000 0.0000
```

> VASP energy of number 1 (Li3Cd12Cu)?

-22.30 eV/cell